Entry from Alexandria: a relaxed structure of Sc4CO3 (PBE-GGA).

Output
**E above lowest polymorph**: 0.000 eV per atom
**Formation energy (no corrections)**: -1905 kJ/mol of formula units
**Symmetry**: Pm-3m (221)

abc: 4.5247 4.5247 4.5247
angles: 90.00 90.00 90.00
Sites, in units of the cell vectors:
Sc 0.5000 0.0000 0.0000
Sc 0.0000 0.5000 0.0000
Sc 0.0000 0.0000 0.5000
Sc 0.5000 0.5000 0.5000
C 0.0000 0.0000 0.0000
O 0.0000 0.5000 0.5000
O 0.5000 0.0000 0.5000
O 0.5000 0.5000 0.0000



Entry from Alexandria: a relaxed structure of CeTh6Co3 (PBE-GGA).

Output
**E_form**: -84 meV per atom
**Symmetry**: Cmc2_1 (36)

abc: 7.1552 8.5043 8.5043
angles: 93.16 90.00 90.00
Sites, in units of the cell vectors:
Ce 0.1224 0.2555 0.7445
Ce 0.6224 0.7445 0.2555
Th 0.0587 0.6819 0.6986
Th 0.5587 0.6986 0.6819
Th 0.3248 0.5182 0.9868
Th 0.8248 0.9868 0.5182
Th 0.2556 0.9702 0.0298
Th 0.6214 0.3097 0.6903
Th 0.1214 0.6903 0.3097
Th 0.7556 0.0298 0.9702
Th 0.3248 0.0132 0.4818
Th 0.8248 0.4818 0.0132
Th 0.0587 0.3014 0.3181
Th 0.5587 0.3181 0.3014
Co 0.4558 0.0134 0.7596
Co 0.9558 0.7596 0.0134
Co 0.3073 0.4236 0.5764
Co 0.8073 0.5764 0.4236
Co 0.9558 0.9866 0.2404
Co 0.4558 0.2404 0.9866



Entry from Alexandria: a relaxed structure of LiPm2TiO5 (PBE-GGA).

Output
**Formation energy (no corrections)**: -2552 kJ/mol of formula units
**Symmetry**: Cmc2_1 (36)

abc: 3.4296 6.8185 9.7423
angles: 90.00 90.00 104.57
Site moments in Bohr magnetons follow the coordinates.
Sites, in units of the cell vectors:
Li 0.7827 0.5654 0.5080  0.00
Li 0.2173 0.4346 0.0080  0.00
Pm 0.8563 0.7126 0.7983  0.04
Pm 0.1174 0.2347 0.6859  0.05
Pm 0.1437 0.2874 0.2983  0.04
Pm 0.8826 0.7653 0.1859  0.05
Ti 0.5443 0.0887 0.9662  0.72
Ti 0.4557 0.9113 0.4662  0.72
O 0.3751 0.7502 0.0041  0.00
O 0.6806 0.3611 0.8672  0.01
O 0.4949 0.9899 0.7767  0.01
O 0.2882 0.5764 0.6658  0.00
O 0.9456 0.8912 0.5516  -0.03
O 0.6249 0.2498 0.5041  0.00
O 0.3194 0.6389 0.3672  0.01
O 0.5051 0.0101 0.2767  0.01
O 0.7118 0.4236 0.1658  0.00
O 0.0544 0.1088 0.0516  -0.03



Entry from Alexandria: a relaxed structure of LaHgIr3 (PBE-GGA).

Output
**E_form**: 1883 meV per atom
**E above lowest polymorph**: 0.679 eV per atom
**Symmetry**: Pm-3m (221)

abc: 5.0008 5.0008 5.0008
angles: 90.00 90.00 90.00
Site moments in Bohr magnetons follow the coordinates.
Sites, in units of the cell vectors:
Ir 0.0000 0.5000 0.0000  0.36
Ir 0.0000 0.0000 0.5000  0.38
Ir 0.5000 0.0000 0.0000  0.47
Hg 0.5000 0.5000 0.5000  0.07
La 0.0000 0.0000 0.0000  0.02



Entry from Alexandria: a relaxed structure of Ce3HfH8 (PBE-GGA).

Output
**Symmetry**: Pm-3m (221)

abc: 5.2338 5.2338 5.2338
angles: 90.00 90.00 90.00
Site moments in Bohr magnetons follow the coordinates.
Sites, in units of the cell vectors:
Ce 0.5000 0.5000 0.0000  0.66
Ce 0.5000 0.0000 0.5000  0.66
Ce 0.0000 0.5000 0.5000  0.66
Hf 0.0000 0.0000 0.0000  -0.04
H 0.2270 0.2270 0.7730  0.00
H 0.2270 0.7730 0.2270  0.00
H 0.7730 0.2270 0.2270  0.00
H 0.7730 0.7730 0.7730  0.00
H 0.7730 0.7730 0.2270  0.00
H 0.7730 0.2270 0.7730  0.00
H 0.2270 0.7730 0.7730  0.00
H 0.2270 0.2270 0.2270  0.00



Entry from Alexandria: a relaxed structure of Tm2NbN (PBE-GGA).

Output
**Formation energy (no corrections)**: -152 kJ/mol of formula units
**Symmetry**: R-3m (166)

abc: 3.2495 3.2495 8.8613
angles: 79.44 79.44 60.00
Site moments in Bohr magnetons follow the coordinates.
Sites, in units of the cell vectors:
Nb 0.0000 0.0000 0.0000  0.69
Tm 0.1145 0.1145 0.6565  0.01
Tm 0.8855 0.8855 0.3435  0.01
N 0.5000 0.5000 0.5000  0.01



Entry from Alexandria: a relaxed structure of Tb3Be2Si3 (PBE-GGA).

Output
**Formation energy (no corrections)**: -478 kJ/mol of formula units
**Symmetry**: Cmcm (63)

abc: 3.8649 5.6276 14.7024
angles: 90.00 90.00 110.08
Sites, in units of the cell vectors:
Tb 0.8513 0.7026 0.4073
Tb 0.1487 0.2974 0.9073
Tb 0.8513 0.7026 0.0927
Tb 0.1487 0.2974 0.5927
Tb 0.5487 0.0973 0.2500
Tb 0.4513 0.9027 0.7500
Be 0.8604 0.7209 0.8808
Be 0.1396 0.2791 0.3808
Be 0.8604 0.7209 0.6192
Be 0.1396 0.2791 0.1192
Si 0.5765 0.1530 0.4419
Si 0.4235 0.8470 0.9419
Si 0.5765 0.1530 0.0581
Si 0.4235 0.8470 0.5581
Si 0.2666 0.5333 0.2500
Si 0.7334 0.4667 0.7500



Entry from Alexandria: a relaxed structure of KZrPb2 (PBE-GGA).

Output
**E_form**: 33 meV per atom
**E above lowest polymorph**: 0.185 eV per atom
**Symmetry**: C2/m (12)

abc: 5.2018 5.2018 7.7693
angles: 83.20 83.20 38.21
Sites, in units of the cell vectors:
K 0.2500 0.2500 0.2500
Pb 0.0088 0.0088 0.9398
Pb 0.4912 0.4912 0.5602
Zr 0.7500 0.7500 0.7500



Number 1: DFT total energy -8.65 eV/atom, density 4.299 Mg/m³. Number 2: DFT total energy -7.26 eV/atom, density 10.986 Mg/m³. Number 3: DFT total energy -7.84 eV/atom, density 6.398 Mg/m³. Number 4: DFT total energy -4.48 eV/atom, density 12.165 Mg/m³. Number 5: DFT total energy -5.07 eV/atom, density 7.029 Mg/m³. Number 6: DFT total energy -7.23 eV/atom, density 9.326 Mg/m³. Number 7: DFT total energy -5.32 eV/atom, density 6.403 Mg/m³. Number 8: DFT total energy -4.23 eV/atom, density 7.011 Mg/m³.